1.
Computed, not measured: Tb3SiGe2 after structural relaxation at the PBE-GGA level of DFT.

Calculated values
- Calculated density: 7.783 Mg/m³
- Density of states at the Fermi level: 4.418 states/eV/f.u.
- E_tot: -5.5122 eV/atom
- Spin magnetization: 0.00 μB/f.u.

abc: 11.602 4.116 11.619
angles: 90.00 90.00 90.00
Space group Pnma (No. 62)
Unique sites:
Tb 0.059 0.250 0.122
Tb 0.117 0.750 0.556
Tb 0.211 0.250 0.794
Si 0.131 0.250 0.372
Ge 0.017 0.750 0.306
Ge 0.190 0.750 0.996

***

2.
Computed, not measured: Tb2SiGe after structural relaxation at the PBE-GGA level of DFT.

Calculated values
- Calculated density: 7.710 Mg/m³
- Density of states at the Fermi level: 2.701 states/eV/f.u.
- E_tot: -5.6687 eV/atom
- Spin magnetization: 0.00 μB/f.u.

abc: 5.760 3.916 8.385
angles: 90.00 107.56 90.00
Space group P2_1/m (No. 11)
Unique sites:
Tb 0.205 0.250 0.429
Tb 0.288 0.750 0.068
Si 0.130 0.250 0.790
Ge 0.371 0.750 0.710

***

3.
Computed, not measured: TbSiTc2Ge2 after structural relaxation at the PBE-GGA level of DFT.

Calculated values
- Calculated density: 7.879 Mg/m³
- Density of states at the Fermi level: 3.379 states/eV/f.u.
- E_tot: -6.8939 eV/atom
- Spin magnetization: 0.00 μB/f.u.

abc: 4.493 4.493 5.515
angles: 90.00 90.00 90.00
Space group P4/mmm (No. 123)
Unique sites:
Tb 0.000 0.000 0.000
Si 0.000 0.000 0.500
Tc 0.000 0.500 0.500
Ge 0.500 0.500 0.230

***

4.
Computed, not measured: Tb4SiGeTe2 after structural relaxation at the PBE-GGA level of DFT.

Calculated values
- Calculated density: 7.398 Mg/m³
- Density of states at the Fermi level: 1.415 states/eV/f.u.
- E_tot: -5.5076 eV/atom
- Spin magnetization: 0.00 μB/f.u.

abc: 7.353 4.253 7.529
angles: 90.00 109.02 90.00
Space group P2/m (No. 10)
Unique sites:
Tb 0.239 0.000 0.220
Tb 0.259 0.500 0.780
Si 0.000 0.500 0.000
Ge 0.500 0.000 0.000
Te 0.000 0.000 0.500
Te 0.500 0.500 0.500